Material: Cr2Os
Method: DFT, PBE
State: optimized geometry

Results
symmetry = I4_1/amd (141)
calculated formation energy = 0.374 eV/atom
density of states at the Fermi level = 5.21 states/eV per cell
crystal system = tetragonal

a = 11.4877 Å, b = 11.4877 Å, c = 11.4877 Å
α = 166.74°, β = 166.74°, γ = 18.79°
Last column: nearest neighbours and their distance in Å.
Atoms (fractional coordinates):
Cr  0.2944  0.5444  0.7500  6 Cr 2.41-2.65, 4 Os 2.62
Cr  0.4556  0.7056  0.7500  6 Cr 2.41-2.65, 4 Os 2.62
Cr  0.5444  0.2944  0.2500  6 Cr 2.41-2.65, 4 Os 2.62
Cr  0.7056  0.4556  0.2500  6 Cr 2.41-2.65, 4 Os 2.62
Os  0.1250  0.8750  0.2500  8 Cr 2.62, 4 Os 2.65
Os  0.8750  0.1250  0.7500  8 Cr 2.62, 4 Os 2.65

***

Material: OsPbAu2
Method: DFT, PBE
State: optimized geometry

Results
symmetry = C2/m (12)
calculated formation energy = 0.580 eV/atom
density of states at the Fermi level = 3.31 states/eV per cell
crystal system = monoclinic

a = 6.3306 Å, b = 6.3306 Å, c = 4.6567 Å
α = 111.24°, β = 111.24°, γ = 27.54°
Last column: nearest neighbours and their distance in Å.
Atoms (fractional coordinates):
Os  0.0000  0.0000  0.0000  4 Pb 2.77, 4 Au 2.81, 2 Os 3.01
Pb  0.5000  0.5000  0.5000  4 Os 2.77, 2 Pb 3.01
Au  0.2920  0.2920  0.7913  2 Os 2.81, 6 Au 2.93-3.01
Au  0.7080  0.7080  0.2087  2 Os 2.81, 6 Au 2.93-3.01

***

Material: ThAgHg6
Method: DFT, PBE
State: optimized geometry

Results
symmetry = R-3m (166)
calculated formation energy = 0.309 eV/atom
polymorph energy (0 for the lowest one) = 363 meV/atom
density of states at the Fermi level = 4.63 states/eV per cell
crystal system = trigonal

a = 8.6701 Å, b = 8.6701 Å, c = 8.6701 Å
α = 42.11°, β = 42.11°, γ = 42.11°
Last column: nearest neighbours and their distance in Å.
Atoms (fractional coordinates):
Th  0.0000  0.0000  0.0000  6 Hg 3.09
Ag  0.5000  0.5000  0.5000  12 Hg 3.45
Hg  0.0687  0.0687  0.5501  5 Hg 2.96-3.23, 1 Th 3.09
Hg  0.0687  0.5501  0.0687  5 Hg 2.96-3.23, 1 Th 3.09
Hg  0.4499  0.9313  0.9313  5 Hg 2.96-3.23, 1 Th 3.09
Hg  0.5501  0.0687  0.0687  5 Hg 2.96-3.23, 1 Th 3.09
Hg  0.9313  0.4499  0.9313  5 Hg 2.96-3.23, 1 Th 3.09
Hg  0.9313  0.9313  0.4499  5 Hg 2.96-3.23, 1 Th 3.09

***

Material: La3Tb8Pm2
Method: DFT, PBE
State: optimized geometry

Results
symmetry = C2/m (12)
calculated formation energy = 0.245 eV/atom
polymorph energy (0 for the lowest one) = 164 meV/atom
density of states at the Fermi level = 23.54 states/eV per cell
crystal system = monoclinic

a = 10.9658 Å, b = 10.9658 Å, c = 5.6926 Å
α = 90.03°, β = 90.03°, γ = 41.40°
Last column: nearest neighbours and their distance in Å.
Atoms (fractional coordinates):
La  0.0000  0.0000  0.0000  4 Tb 3.17
La  0.2985  0.7015  0.5000  1 La 3.12
La  0.7015  0.2985  0.5000  1 La 3.12
Tb  0.1351  0.1351  0.4998  2 Pm 3.58-3.59, 4 La 3.61-3.97, 7 Tb 3.67-3.99
Tb  0.1833  0.6001  0.9997  1 La 3.17, 3 Tb 3.23-3.52, 2 Pm 3.48-3.55
Tb  0.3293  0.3293  0.4993  2 Pm 3.37, 4 Tb 3.51-3.52
Tb  0.3999  0.8167  0.0003  1 La 3.17, 3 Tb 3.23-3.52, 2 Pm 3.48-3.55
Tb  0.6001  0.1833  0.9997  1 La 3.17, 3 Tb 3.23-3.52, 2 Pm 3.48-3.55
Tb  0.6707  0.6707  0.5007  2 Pm 3.37, 4 Tb 3.51-3.52
Tb  0.8167  0.3999  0.0003  1 La 3.17, 3 Tb 3.23-3.52, 2 Pm 3.48-3.55
Tb  0.8649  0.8649  0.5002  2 Pm 3.58-3.59, 4 La 3.61-3.97, 7 Tb 3.67-3.99
Pm  0.2415  0.2415  0.9992  8 Tb 3.37-3.59
Pm  0.7585  0.7585  0.0008  8 Tb 3.37-3.59

***

Material: RbHg3N
Method: DFT, PBE
State: optimized geometry

Results
symmetry = Pm-3m (221)
polymorph energy (0 for the lowest one) = 440 meV/atom
formation energy (no corrections) = 1.0643 eV/atom
density of states at the Fermi level = 12.37 states/eV per cell
crystal system = cubic

a = 7.3781 Å, b = 7.3781 Å, c = 7.3781 Å
α = 90.00°, β = 90.00°, γ = 90.00°
Last column: nearest neighbours and their distance in Å.
Atoms (fractional coordinates):
Rb  0.0000  0.0000  0.0000  6 Hg 3.69
Hg  0.0000  0.0000  0.5000  2 Rb 3.69
Hg  0.0000  0.5000  0.0000  2 Rb 3.69
Hg  0.5000  0.0000  0.0000  2 Rb 3.69
N  0.5000  0.5000  0.5000  12 Hg 5.22

***

Material: Ca2Pm2Nd5
Method: DFT, PBE
State: optimized geometry

Results
symmetry = C2/m (12)
calculated formation energy = 0.044 eV/atom
density of states at the Fermi level = 12.48 states/eV per cell
crystal system = monoclinic

a = 8.3165 Å, b = 8.3165 Å, c = 8.2834 Å
α = 107.76°, β = 107.76°, γ = 36.89°
Last column: nearest neighbours and their distance in Å.
Atoms (fractional coordinates):
Ca  0.2219  0.2219  0.3317  7 Nd 3.69-3.84, 3 Pm 3.71-3.72, 2 Ca 3.73
Ca  0.7781  0.7781  0.6683  7 Nd 3.69-3.84, 3 Pm 3.71-3.72, 2 Ca 3.73
Pm  0.3355  0.3355  0.0036  7 Nd 3.56-3.78, 3 Ca 3.71-3.72, 2 Pm 3.75
Pm  0.6645  0.6645  0.9964  7 Nd 3.56-3.78, 3 Ca 3.71-3.72, 2 Pm 3.75
Nd  0.0000  0.0000  0.0000  6 Nd 3.60-3.68, 2 Ca 3.69, 4 Pm 3.70
Nd  0.1051  0.1051  0.6727  6 Nd 3.57-3.77, 3 Pm 3.66-3.78, 3 Ca 3.80-3.84
Nd  0.4522  0.4522  0.6718  2 Pm 3.56-3.77, 7 Nd 3.57-3.77, 3 Ca 3.80-3.81
Nd  0.5478  0.5478  0.3282  2 Pm 3.56-3.77, 7 Nd 3.57-3.77, 3 Ca 3.80-3.81
Nd  0.8949  0.8949  0.3273  6 Nd 3.57-3.77, 3 Pm 3.66-3.78, 3 Ca 3.80-3.84

***

Material: Li6Nd2In9
Method: DFT, PBE
State: optimized geometry

Results
symmetry = P6/mmm (191)
calculated formation energy = -0.182 eV/atom
density of states at the Fermi level = 8.21 states/eV per cell
crystal system = hexagonal

a = 5.9625 Å, b = 5.9625 Å, c = 13.8733 Å
α = 90.00°, β = 90.00°, γ = 120.00°
Last column: nearest neighbours and their distance in Å.
Atoms (fractional coordinates):
Li  0.3333  0.6667  0.0000  6 In 2.99
Li  0.3333  0.6667  0.3388  6 In 2.82-2.83
Li  0.3333  0.6667  0.6612  6 In 2.82-2.83
Li  0.6667  0.3333  0.0000  6 In 2.99
Li  0.6667  0.3333  0.3388  6 In 2.82-2.83
Li  0.6667  0.3333  0.6612  6 In 2.82-2.83
Nd  0.0000  0.0000  0.3295  6 Li 3.44, 12 In 3.66-3.81
Nd  0.0000  0.0000  0.6705  6 Li 3.44, 12 In 3.66-3.81
In  0.0000  0.5000  0.1766  4 Li 2.83-2.99, 4 In 2.98
In  0.0000  0.5000  0.5000  4 Li 2.82, 4 In 2.98
In  0.0000  0.5000  0.8234  4 Li 2.83-2.99, 4 In 2.98
In  0.5000  0.0000  0.1766  4 Li 2.83-2.99, 4 In 2.98
In  0.5000  0.0000  0.5000  4 Li 2.82, 4 In 2.98
In  0.5000  0.0000  0.8234  4 Li 2.83-2.99, 4 In 2.98
In  0.5000  0.5000  0.1766  4 Li 2.83-2.99, 4 In 2.98
In  0.5000  0.5000  0.5000  4 Li 2.82, 4 In 2.98
In  0.5000  0.5000  0.8234  4 Li 2.83-2.99, 4 In 2.98

***

Material: Ca2HgSbBr
Method: DFT, PBE
State: optimized geometry

Results
symmetry = P4/mmm (123)
formation energy (no corrections) = -0.2211 eV/atom
density of states at the Fermi level = 2.87 states/eV per cell
crystal system = tetragonal

a = 5.6015 Å, b = 5.6015 Å, c = 5.6078 Å
α = 90.00°, β = 90.00°, γ = 90.00°
Last column: nearest neighbours and their distance in Å.
Atoms (fractional coordinates):
Ca  0.0000  0.5000  0.0000  2 Br 2.80
Ca  0.5000  0.0000  0.0000  2 Br 2.80
Hg  0.0000  0.0000  0.5000  4 Sb 3.96, 8 Ca 3.96
Sb  0.5000  0.5000  0.5000  2 Br 2.80
Br  0.5000  0.5000  0.0000  4 Ca 2.80, 2 Sb 2.80

***

Material: K3PuSb2Te6
Method: DFT, PBE
State: optimized geometry

Results
symmetry = C2/m (12)
formation energy (no corrections) = -0.7056 eV/atom
density of states at the Fermi level = 14.97 states/eV per cell
crystal system = monoclinic

a = 7.8984 Å, b = 7.8984 Å, c = 8.6314 Å
α = 98.78°, β = 98.78°, γ = 120.03°
Last column: nearest neighbours and their distance in Å.
Atoms (fractional coordinates):
K  0.0000  0.0000  0.0000  6 Te 3.54-3.59
K  0.3330  0.6670  0.0000  6 Te 3.54-3.59
K  0.6670  0.3330  0.0000  6 Te 3.54-3.59
Pu  0.5000  0.5000  0.5000  6 Te 3.16
Sb  0.1666  0.8334  0.5000  6 Te 3.11-3.12
Sb  0.8334  0.1666  0.5000  6 Te 3.11-3.12
Te  0.0934  0.4315  0.2939  2 Sb 3.11-3.12, 1 Pu 3.16
Te  0.2310  0.2310  0.7068  2 Sb 3.12, 1 Pu 3.16
Te  0.4315  0.0934  0.2939  2 Sb 3.11-3.12, 1 Pu 3.16
Te  0.5685  0.9066  0.7061  2 Sb 3.11-3.12, 1 Pu 3.16
Te  0.7690  0.7690  0.2932  2 Sb 3.12, 1 Pu 3.16
Te  0.9066  0.5685  0.7061  2 Sb 3.11-3.12, 1 Pu 3.16

***

Material: Hf2AlPd8
Method: DFT, PBE
State: optimized geometry

Results
symmetry = C2/m (12)
calculated formation energy = -0.726 eV/atom
density of states at the Fermi level = 3.56 states/eV per cell
crystal system = monoclinic

a = 7.7724 Å, b = 7.7724 Å, c = 5.8111 Å
α = 111.90°, β = 111.90°, γ = 33.97°
Last column: nearest neighbours and their distance in Å.
Atoms (fractional coordinates):
Hf  0.1880  0.1880  0.1880  12 Pd 2.75-2.94
Hf  0.8120  0.8120  0.8120  12 Pd 2.75-2.94
Al  0.5000  0.5000  0.5000  4 Pd 2.41
Pd  0.0001  0.0001  0.2455  2 Al 2.71, 8 Pd 2.85-2.96, 2 Hf 2.94
Pd  0.9999  0.9999  0.7545  2 Al 2.71, 8 Pd 2.85-2.96, 2 Hf 2.94
Pd  0.1824  0.1824  0.6825  8 Pd 2.80-2.90, 4 Hf 2.88-2.91
Pd  0.3628  0.3628  0.1026  1 Al 2.41
Pd  0.3626  0.3626  0.6225  1 Al 2.41
Pd  0.6374  0.6374  0.3775  1 Al 2.41
Pd  0.6372  0.6372  0.8974  1 Al 2.41
Pd  0.8176  0.8176  0.3175  8 Pd 2.80-2.90, 4 Hf 2.88-2.91

***

Material: SrCd2Te
Method: DFT, PBE
State: optimized geometry

Results
symmetry = Cm (8)
formation energy (no corrections) = -0.5695 eV/atom
density of states at the Fermi level = 1.19 states/eV per cell
crystal system = monoclinic

a = 5.2204 Å, b = 5.2204 Å, c = 6.3898 Å
α = 102.39°, β = 102.39°, γ = 52.49°
Last column: nearest neighbours and their distance in Å.
Atoms (fractional coordinates):
Sr  0.0000  0.0000  0.0000  3 Te 3.28-3.29, 4 Cd 3.45-3.63
Cd  0.4123  0.4123  0.3501  3 Cd 2.88-2.94, 1 Te 3.17
Cd  0.7243  0.7243  0.3805  3 Cd 2.88-2.94
Te  0.2696  0.2696  0.7526  3 Cd 3.17-3.27, 3 Sr 3.28-3.29

***

Material: BeRe5
Method: DFT, PBE
State: optimized geometry

Results
symmetry = Cm (8)
calculated formation energy = 0.040 eV/atom
polymorph energy (0 for the lowest one) = 3 meV/atom
density of states at the Fermi level = 3.52 states/eV per cell
crystal system = monoclinic

a = 4.9061 Å, b = 4.9061 Å, c = 6.5236 Å
α = 109.18°, β = 109.18°, γ = 34.71°
Last column: nearest neighbours and their distance in Å.
Atoms (fractional coordinates):
Be  0.0000  0.0000  0.0000  8 Re 2.43-2.69
Re  0.0125  0.0125  0.5417  12 Re 2.65-2.93
Re  0.3285  0.3285  0.6966  2 Be 2.54, 7 Re 2.70-2.78
Re  0.3689  0.3689  0.1788  2 Be 2.45, 6 Re 2.62-2.73
Re  0.6664  0.6664  0.8863  2 Be 2.43, 6 Re 2.62-2.70
Re  0.6812  0.6812  0.3336  2 Be 2.69, 11 Re 2.72-2.93